# 1
DFT (PBE) results for crystalline Cs3ZnAs2 at its relaxed geometry.

Unit cell a=8.600 b=14.949 c=7.598 alpha=90.00 beta=90.00 gamma=90.00
Space group Ibam (No. 72)
Symmetry-distinct sites (fractional):
Cs: 0.000 0.000 0.250 x4
Cs: 0.202 0.323 0.000 x8
Zn: 0.000 0.500 0.250 x4
As: 0.160 0.426 0.500 x8

For the excess energy over the best structure of this formula in the dataset, the calculation gives 0.000 eV per atom. The value obtained for the calculated formation energy is -292.0 meV per atom.

***

# 2
DFT (PBE) results for crystalline Cs2Zn2As at its relaxed geometry.

Unit cell a=7.324 b=7.324 c=5.866 alpha=90.00 beta=90.00 gamma=90.00
Space group P4/mbm (No. 127)
Symmetry-distinct sites (fractional):
Cs: 0.188 0.312 0.000 x4
Zn: 0.128 0.628 0.500 x4
As: 0.000 0.000 0.500 x2

For the excess energy over the best structure of this formula in the dataset, the calculation gives 0.000 eV per atom. The value obtained for the calculated formation energy is 24.7 meV per atom.

***

# 3
DFT (PBE) results for crystalline CsZnAs at its relaxed geometry.

Unit cell a=8.524 b=4.285 c=11.627 alpha=90.00 beta=90.00 gamma=90.00
Space group Pnma (No. 62)
Symmetry-distinct sites (fractional):
Cs: 0.015 0.250 0.182 x4
Zn: 0.094 0.250 0.504 x4
As: 0.199 0.750 0.430 x4

The value obtained for the calculated formation energy is -416.3 meV per atom.